[1]
Here is a relaxed structure of Tc4SbW from Alexandria. Energies are from PBE.

Lattice parameters (Å, degrees): 7.303 7.303 7.303 90.00 90.00 90.00
Space group F-43m (No. 216)
Inequivalent atoms, fractional coordinates:
1 Tc 0.124 0.124 0.376 (multiplicity 16)
2 Sb 0.250 0.250 0.750 (multiplicity 4)
3 W 0.000 0.000 0.000 (multiplicity 4)

## Properties
**Total energy**: -55.8 eV per formula unit
**ΔE_f (raw)**: 2.7 eV per formula unit
**DOS at the Fermi energy**: 0.910 states/eV per atom

=====

[2]
Here is a relaxed structure of TcSbW2 from Alexandria. Energies are from PBE.

Lattice parameters (Å, degrees): 3.851 3.851 19.617 90.00 90.00 90.00
Space group I-42d (No. 122)
Inequivalent atoms, fractional coordinates:
1 Tc 0.000 0.000 0.000 (multiplicity 4)
2 Sb 0.000 0.000 0.500 (multiplicity 4)
3 W 0.244 0.250 0.625 (multiplicity 8)

## Properties
**Total energy**: -36.8 eV per formula unit
**ΔE_f (raw)**: 3.6 eV per formula unit
**DOS at the Fermi energy**: 0.945 states/eV per atom

=====

[3]
Here is a relaxed structure of TcSbW3 from Alexandria. Energies are from PBE.

Lattice parameters (Å, degrees): 4.789 4.789 4.789 90.00 90.00 90.00
Space group Pm-3m (No. 221)
Inequivalent atoms, fractional coordinates:
1 Tc 0.000 0.000 0.000 (multiplicity 1)
2 Sb 0.500 0.500 0.500 (multiplicity 1)
3 W 0.000 0.500 0.500 (multiplicity 3)

## Properties
**E above lowest polymorph**: 1032 meV per atom
**Total energy**: -39.0 eV per formula unit
**ΔE_f (raw)**: 14.3 eV per formula unit
**DOS at the Fermi energy**: 1.267 states/eV per atom

=====

[4]
Here is a relaxed structure of TcSbW2 from Alexandria. Energies are from PBE.

Lattice parameters (Å, degrees): 3.310 4.413 9.115 90.00 90.00 90.00
Space group Imm2 (No. 44)
Inequivalent atoms, fractional coordinates:
1 Tc 0.000 0.000 0.000 (multiplicity 2)
2 Sb 0.000 0.500 0.256 (multiplicity 2)
3 W 0.000 0.000 0.503 (multiplicity 2)
4 W 0.000 0.500 0.756 (multiplicity 2)

## Properties
**Total energy**: -38.7 eV per formula unit
**ΔE_f (raw)**: 1.7 eV per formula unit
**DOS at the Fermi energy**: 0.822 states/eV per atom

=====

[5]
Here is a relaxed structure of TcSbW3 from Alexandria. Energies are from PBE.

Lattice parameters (Å, degrees): 4.755 4.755 4.755 90.00 90.00 90.00
Space group Pm-3m (No. 221)
Inequivalent atoms, fractional coordinates:
1 Tc 0.000 0.000 0.000 (multiplicity 1)
2 Sb 0.500 0.500 0.500 (multiplicity 1)
3 W 0.000 0.000 0.500 (multiplicity 3)

## Properties
**E above lowest polymorph**: 0 meV per atom
**Total energy**: -44.2 eV per formula unit
**ΔE_f (raw)**: 9.2 eV per formula unit
**DOS at the Fermi energy**: 1.529 states/eV per atom

=====

[6]
Here is a relaxed structure of TcSb2W from Alexandria. Energies are from PBE.

Lattice parameters (Å, degrees): 3.1798 3.1798 25.4382 90.00 90.00 120.00
Space group R-3m (No. 166, hexagonal axes)
Inequivalent atoms, fractional coordinates:
1 Tc 0.0000 0.0000 0.0000 (multiplicity 3)
2 Sb 0.0000 0.0000 0.2525 (multiplicity 6)
3 W 0.0000 0.0000 0.5000 (multiplicity 3)

## Properties
**E above lowest polymorph**: 373 meV per atom
**Total energy**: -29.5 eV per formula unit
**ΔE_f (raw)**: 2.1 eV per formula unit
**DOS at the Fermi energy**: 1.061 states/eV per atom